# 1
An optimized crystal structure of SrYCdSn2, computed with PBEsol.

a b c (Å): 5.642 5.642 5.654
angles (deg): 90.00 90.00 90.00
Atoms (fractional coordinates):
Sr1 0.000 0.000 0.000
Y1 0.500 0.500 0.500
Cd1 0.500 0.500 0.000
Sn1 0.000 0.500 0.500
Sn2 0.500 0.000 0.500

Values from the calculation:
Space-group type ... P4/mmm
Final energy ... -3.6675 eV/atom
Formation enthalpy at 0 K ... 0.008 eV/atom

# 2
An optimized crystal structure of Gd3Bi2O8, computed with PBEsol.

a b c (Å): 6.770 6.770 9.536
angles (deg): 118.99 118.99 31.93
Atoms (fractional coordinates):
Gd1 0.000 0.000 0.000
Gd2 0.386 0.386 0.623
Gd3 0.555 0.555 0.375
Bi1 0.173 0.173 0.757
Bi2 0.778 0.778 0.193
O1 0.182 0.182 0.513
O2 0.197 0.197 0.030
O3 0.360 0.360 0.359
O4 0.381 0.381 0.869
O5 0.578 0.578 0.633
O6 0.603 0.603 0.175
O7 0.953 0.953 0.207
O8 0.972 0.972 0.738

Values from the calculation:
Formation energy without anion corrections ... -2.470 eV per atom
Space-group type ... Cm
Final energy ... -9.6937 eV/atom

# 3
An optimized crystal structure of ErTe3, computed with PBEsol.

a b c (Å): 12.841 12.841 4.262
angles (deg): 90.00 90.00 160.91
Atoms (fractional coordinates):
Er1 0.170 0.830 0.750
Er2 0.830 0.170 0.250
Te1 0.074 0.926 0.250
Te2 0.294 0.706 0.750
Te3 0.426 0.574 0.250
Te4 0.574 0.426 0.750
Te5 0.706 0.294 0.250
Te6 0.926 0.074 0.750

Values from the calculation:
Formation energy without anion corrections ... -0.910 eV per atom
Space-group type ... Cmcm
Final energy ... -4.7866 eV/atom

# 4
An optimized crystal structure of Ca2TeW, computed with PBEsol.

a b c (Å): 4.550 6.096 6.096
angles (deg): 37.85 90.00 90.00
Atoms (fractional coordinates):
Ca1 0.000 0.000 0.000
Ca2 0.500 0.305 0.305
Te1 0.000 0.712 0.712
W1 0.500 0.589 0.589

Values from the calculation:
Formation energy without anion corrections ... 0.259 eV per atom
Space-group type ... Amm2
Relative energy among the computed polymorphs ... 0.000 eV/atom
Final energy ... -5.1405 eV/atom

# 5
An optimized crystal structure of ScRuPt2, computed with PBEsol.

a b c (Å): 2.794 2.794 7.910
angles (deg): 90.00 90.00 90.00
Atoms (fractional coordinates):
Sc1 0.000 0.000 0.000
Ru1 0.500 0.500 0.739
Pt1 0.000 0.000 0.512
Pt2 0.500 0.500 0.251

Values from the calculation:
Space-group type ... P4mm
Final energy ... -8.0086 eV/atom
Formation enthalpy at 0 K ... -0.332 eV/atom

# 6
An optimized crystal structure of MgZrTl2, computed with PBEsol.

a b c (Å): 5.333 3.239 5.838
angles (deg): 90.00 114.02 90.00
Atoms (fractional coordinates):
Mg1 0.000 0.000 0.000
Zr1 0.000 0.500 0.500
Tl1 0.500 0.000 0.500
Tl2 0.500 0.500 0.000

Values from the calculation:
Space-group type ... P2/m
Final energy ... -4.0829 eV/atom
Formation enthalpy at 0 K ... -0.066 eV/atom

# 7
An optimized crystal structure of LaCr2Ru, computed with PBEsol.

a b c (Å): 5.261 5.261 5.261
angles (deg): 146.05 124.96 66.26
Atoms (fractional coordinates):
La1 0.000 0.000 0.000
Cr1 0.504 0.504 0.000
Cr2 0.722 0.222 0.500
Ru1 0.267 0.767 0.500

Values from the calculation:
Space-group type ... Imm2
Relative energy among the computed polymorphs ... 0.052 eV/atom
Final energy ... -8.3635 eV/atom
Formation enthalpy at 0 K ... 0.637 eV/atom

# 8
An optimized crystal structure of Ce3CuSiSe7, computed with PBEsol.

a b c (Å): 10.438 10.438 5.962
angles (deg): 90.00 90.00 120.00
Atoms (fractional coordinates):
Ce1 0.129 0.356 0.000
Ce2 0.227 0.871 0.000
Ce3 0.356 0.227 0.500
Ce4 0.644 0.773 0.000
Ce5 0.773 0.129 0.500
Ce6 0.871 0.644 0.500
Cu1 0.000 0.000 0.476
Cu2 0.000 0.000 0.976
Si1 0.333 0.667 0.587
Si2 0.667 0.333 0.087
Se1 0.093 0.256 0.488
Se2 0.101 0.580 0.733
Se3 0.164 0.907 0.488
Se4 0.256 0.164 0.988
Se5 0.333 0.667 0.208
Se6 0.420 0.520 0.733
Se7 0.480 0.899 0.733
Se8 0.520 0.101 0.233
Se9 0.580 0.480 0.233
Se10 0.667 0.333 0.708
Se11 0.744 0.836 0.488
Se12 0.836 0.093 0.988
Se13 0.899 0.420 0.233
Se14 0.907 0.744 0.988

Values from the calculation:
Formation energy without anion corrections ... -1.274 eV per atom
Space-group type ... P6_3
Final energy ... -6.0085 eV/atom

# 9
An optimized crystal structure of ScCu4Sn, computed with PBEsol.

a b c (Å): 4.946 4.946 4.946
angles (deg): 60.00 60.00 60.00
Atoms (fractional coordinates):
Sc1 0.000 0.000 0.000
Cu1 0.375 0.375 0.375
Cu2 0.375 0.375 0.876
Cu3 0.375 0.876 0.375
Cu4 0.876 0.375 0.375
Sn1 0.750 0.750 0.750

Values from the calculation:
Space-group type ... F-43m
Final energy ... -4.9325 eV/atom
Formation enthalpy at 0 K ... -0.232 eV/atom

# 10
An optimized crystal structure of CaSc2Si, computed with PBEsol.

a b c (Å): 3.338 3.338 8.358
angles (deg): 90.00 90.00 90.00
Atoms (fractional coordinates):
Ca1 0.000 0.000 0.000
Sc1 0.000 0.000 0.588
Sc2 0.500 0.500 0.337
Si1 0.500 0.500 0.769

Values from the calculation:
Formation energy without anion corrections ... -0.205 eV per atom
Space-group type ... P4mm
Final energy ... -5.4778 eV/atom

# 11
An optimized crystal structure of Na3TbBr6, computed with PBEsol.

a b c (Å): 7.114 7.689 12.663
angles (deg): 90.00 123.11 90.00
Atoms (fractional coordinates):
Na1 0.000 0.000 0.000
Na2 0.000 0.500 0.500
Na3 0.204 0.094 0.741
Na4 0.204 0.406 0.241
Na5 0.796 0.594 0.759
Na6 0.796 0.906 0.259
Tb1 0.500 0.000 0.500
Tb2 0.500 0.500 0.000
Br1 0.112 0.180 0.431
Br2 0.112 0.320 0.931
Br3 0.253 0.693 0.420
Br4 0.253 0.807 0.920
Br5 0.408 0.061 0.259
Br6 0.408 0.439 0.759
Br7 0.592 0.561 0.241
Br8 0.592 0.939 0.741
Br9 0.747 0.193 0.080
Br10 0.747 0.307 0.580
Br11 0.888 0.680 0.069
Br12 0.888 0.820 0.569

Values from the calculation:
Formation energy without anion corrections ... -1.665 eV per atom
Space-group type ... P2_1/c
Final energy ... -3.7075 eV/atom

# 12
An optimized crystal structure of NaAg3Se, computed with PBEsol.

a b c (Å): 5.038 5.038 5.038
angles (deg): 90.00 90.00 90.00
Atoms (fractional coordinates):
Na1 0.000 0.000 0.000
Ag1 0.000 0.500 0.500
Ag2 0.500 0.000 0.500
Ag3 0.500 0.500 0.000
Se1 0.500 0.500 0.500

Values from the calculation:
Formation energy without anion corrections ... 0.285 eV per atom
Space-group type ... Pm-3m
Final energy ... -2.7512 eV/atom